A relaxed structure of TbPuIn2. Source: Alexandria, functional PBE.

Crystal system: trigonal
Energy of formation from the pure elements, eV per atom: -0.138
DOS at the Fermi energy, states/eV/atom: 2.436

Cell: 3.5129 3.5129 31.4976 Å, 90.00 90.00 120.00°
Space group R-3m (No. 166, hexagonal axes)
Inequivalent atoms, fractional coordinates:
1 Tb 0.0000 0.0000 0.0000 x3
2 Pu 0.0000 0.0000 0.5000 x3
3 In 0.0000 0.0000 0.2512 x6